1.
Compound: MnNi2Bi2
Source: the Alexandria database
Functional: GGA-PBE
Structure: optimized geometry

Cell and atoms, written as CIF:
```
data_MnNi2Bi2
_cell_length_a 3.506
_cell_length_b 3.506
_cell_length_c 16.030
_cell_angle_alpha 90.00
_cell_angle_beta 90.00
_cell_angle_gamma 90.00
_space_group_name_H-M_alt 'I 4/m m m'
_space_group_IT_number 139
_space_group_name_Hall '-I 4 2'
loop_
_atom_site_label
_atom_site_fract_x
_atom_site_fract_y
_atom_site_fract_z
Mn1 0.000 0.000 0.000
Ni1 0.000 0.500 0.250
Bi1 0.000 0.000 0.381
```

## Properties
Magnetization (μB/f.u.): 3.7
DOS(E_F) (states/eV/atom): 1.02
E above lowest polymorph (meV per atom): 132
Formation energy (eV/f.u.): 1.71
Total energy (eV per formula unit): -26.79

***

2.
Compound: Mn4NiBi2
Source: the Alexandria database
Functional: GGA-PBE
Structure: optimized geometry

Cell and atoms, written as CIF:
```
data_Mn4NiBi2
_cell_length_a 4.549
_cell_length_b 4.549
_cell_length_c 14.166
_cell_angle_alpha 90.00
_cell_angle_beta 90.00
_cell_angle_gamma 90.00
_space_group_name_H-M_alt 'I 4/m m m'
_space_group_IT_number 139
_space_group_name_Hall '-I 4 2'
loop_
_atom_site_label
_atom_site_fract_x
_atom_site_fract_y
_atom_site_fract_z
Mn1 0.000 0.000 0.163
Mn2 0.000 0.500 0.000
Ni1 0.000 0.000 0.000
Bi1 0.000 0.000 0.361
```

## Properties
Magnetization (μB/f.u.): 16.0
DOS(E_F) (states/eV/atom): 0.76
Formation energy (eV/f.u.): 3.32
Total energy (eV per formula unit): -46.90